[1]
## TlCr3Sb (PBE)

Data for crystalline TlCr3Sb at its relaxed geometry.

Computed properties:
crystal system: cubic
uncorrected formation energy: 1.0607 eV/atom
theoretical density: 5.68 g/cm³
energy above the lowest structure with this stoichiometry: 0 meV/atom
total energy: -6.01 eV/atom

Cell: 5.204 5.204 5.204 Å, 90.00 90.00 90.00°
Site moments in Bohr magnetons follow the coordinates.
Positions (direct):
Sb: 0.000 0.000 0.000  -0.14
Tl: 0.500 0.500 0.500  0.03
Cr: 0.000 0.500 0.000  3.82
Cr: 0.000 0.000 0.500  3.98
Cr: 0.500 0.000 0.000  3.84

[2]
## LiPrAg (PBE)

Data for crystalline LiPrAg at its relaxed geometry.

Computed properties:
crystal system: tetragonal
theoretical density: 6.03 g/cm³
energy above the lowest structure with this stoichiometry: 28 meV/atom
formation energy from the elements: -0.4 eV per formula unit
total energy: -3.30 eV/atom

Cell: 3.642 3.642 5.897 Å, 107.99 107.99 90.00°
Site moments in Bohr magnetons follow the coordinates.
Positions (direct):
Pr: 0.945 0.945 0.889  0.12
Ag: 0.256 0.256 0.513  0.01
Li: 0.649 0.649 0.298  0.01

[3]
## SiSnS3 (PBE)

Data for crystalline SiSnS3 at its relaxed geometry.

Computed properties:
crystal system: monoclinic
uncorrected formation energy: -0.5844 eV/atom
theoretical density: 3.05 g/cm³
total energy: -4.95 eV/atom

Cell: 6.705 7.717 10.621 Å, 90.00 90.00 105.69°
Positions (direct):
Si: 0.981 0.292 0.281
Si: 0.481 0.292 0.219
Si: 0.019 0.708 0.719
Si: 0.519 0.708 0.781
Sn: 0.284 0.126 0.568
Sn: 0.216 0.874 0.068
Sn: 0.716 0.874 0.432
Sn: 0.784 0.126 0.932
S: 0.098 0.944 0.831
S: 0.792 0.472 0.235
S: 0.708 0.528 0.735
S: 0.208 0.528 0.765
S: 0.927 0.211 0.473
S: 0.573 0.789 0.973
S: 0.073 0.789 0.527
S: 0.427 0.211 0.027
S: 0.902 0.056 0.169
S: 0.598 0.944 0.669
S: 0.402 0.056 0.331
S: 0.292 0.472 0.265

Repeat the first record exactly.
## TlCr3Sb (PBE)

Data for crystalline TlCr3Sb at its relaxed geometry.

Computed properties:
crystal system: cubic
uncorrected formation energy: 1.0607 eV/atom
theoretical density: 5.68 g/cm³
energy above the lowest structure with this stoichiometry: 0 meV/atom
total energy: -6.01 eV/atom

Cell: 5.204 5.204 5.204 Å, 90.00 90.00 90.00°
Site moments in Bohr magnetons follow the coordinates.
Positions (direct):
Sb: 0.000 0.000 0.000  -0.14
Tl: 0.500 0.500 0.500  0.03
Cr: 0.000 0.500 0.000  3.82
Cr: 0.000 0.000 0.500  3.98
Cr: 0.500 0.000 0.000  3.84